[1]
Tb2Zn15Ag2 | GGA-PBE | optimized geometry

Cell lengths 6.837, 6.837, 6.837 Å; angles 82.93, 82.93, 82.93 degrees
Fractional coordinates of all 19 atoms:
Ag 0.107 0.107 0.107
Ag 0.893 0.893 0.893
Tb 0.659 0.659 0.659
Tb 0.341 0.341 0.341
Zn 0.163 0.647 0.647
Zn 0.647 0.163 0.647
Zn 0.297 0.000 0.703
Zn 0.000 0.297 0.703
Zn 0.000 0.500 0.000
Zn 0.703 0.000 0.297
Zn 0.837 0.353 0.353
Zn 0.647 0.647 0.163
Zn 0.353 0.353 0.837
Zn 0.353 0.837 0.353
Zn 0.297 0.703 0.000
Zn 0.500 0.000 0.000
Zn 0.000 0.000 0.500
Zn 0.703 0.297 0.000
Zn 0.000 0.703 0.297

The formation energy comes out at -4.42 eV/f.u. The calculation puts the total moment at 0.0 μB/f.u. The space group is R-3m, No. 166.

[2]
TbZn11Ag | GGA-PBE | optimized geometry

Cell lengths 5.317, 6.853, 6.832 Å; angles 81.19, 67.10, 66.82 degrees
Fractional coordinates of all 13 atoms:
Zn 0.992 0.649 0.357
Zn 0.000 0.000 0.500
Zn 0.349 0.649 0.643
Zn 0.503 0.786 0.219
Zn 0.651 0.351 0.357
Zn 0.497 0.214 0.781
Zn 0.008 0.351 0.643
Zn 0.723 0.786 0.781
Zn 0.500 0.000 0.500
Zn 0.277 0.214 0.219
Zn 0.000 0.500 0.000
Tb 0.000 0.000 0.000
Ag 0.500 0.500 0.000

The formation energy comes out at -2.11 eV/f.u. The calculation puts the total moment at 0.0 μB/f.u. The space group is C2/m, No. 12.

Number 1: DOS(E_F) 0.32 states/eV/atom. Number 2: DOS(E_F) 0.33 states/eV/atom.